Density functional theory data (PBEsol) for TcIrRh2 after structural relaxation.

a b c (Å): 2.6737 4.6493 4.6611
angles (deg): 99.50 106.67 90.00
Element x y z (fractional)
Tc: 0.5000 0.0000 0.0000
Rh: 0.7504 0.7520 0.5008
Rh: 0.2496 0.2480 0.4992
Ir: 0.0000 0.5000 0.0000

Energy of formation from the pure elements, meV per atom: -89